VASP calculation (GGA-PBE) on a relaxed structure of Dy2Ge2O7.

## Properties
Offset from the most stable computed form ... 0 meV per atom
Uncorrected formation energy ... -252.7 kJ/mol of atoms
M_tot ... 0.00 μB/f.u.
Symmetry ... No. 92

Unit cell a=6.872 b=6.872 c=12.521 alpha=90.00 beta=90.00 gamma=90.00
Element x y z (fractional)
Dy 0.125 0.352 0.115
Dy 0.148 0.625 0.365
Dy 0.352 0.125 0.885
Dy 0.375 0.852 0.135
Dy 0.625 0.148 0.635
Dy 0.648 0.875 0.385
Dy 0.852 0.375 0.865
Dy 0.875 0.648 0.615
Ge 0.100 0.152 0.630
Ge 0.152 0.100 0.370
Ge 0.348 0.600 0.880
Ge 0.400 0.652 0.620
Ge 0.600 0.348 0.120
Ge 0.652 0.400 0.380
Ge 0.848 0.900 0.870
Ge 0.900 0.848 0.130
O 0.031 0.078 0.873
O 0.065 0.662 0.179
O 0.078 0.031 0.127
O 0.143 0.316 0.295
O 0.162 0.435 0.929
O 0.184 0.643 0.545
O 0.197 0.197 0.500
O 0.303 0.697 0.750
O 0.316 0.143 0.705
O 0.338 0.935 0.321
O 0.357 0.816 0.955
O 0.422 0.531 0.123
O 0.435 0.162 0.071
O 0.469 0.578 0.377
O 0.531 0.422 0.877
O 0.565 0.838 0.571
O 0.578 0.469 0.623
O 0.643 0.184 0.455
O 0.662 0.065 0.821
O 0.684 0.857 0.205
O 0.697 0.303 0.250
O 0.803 0.803 0.000
O 0.816 0.357 0.045
O 0.838 0.565 0.429
O 0.857 0.684 0.795
O 0.922 0.969 0.627
O 0.935 0.338 0.679
O 0.969 0.922 0.373